The following is a DFT calculation (PBE-GGA) of a relaxed CoPd4Pt2 crystal.

Cell and atoms, written as POSCAR:
```
CoPd4Pt2
1.0
6.497 0.000 0.000
0.000 2.728 0.000
-2.784 0.000 6.012
Co Pd Pt
1 4 2
Cartesian
0.000 0.000 0.000
0.538 0.000 2.693
2.232 1.364 0.966
1.481 1.364 5.047
3.174 0.000 3.319
-1.199 1.364 4.407
4.912 1.364 1.605
```

Computed properties:
- E above lowest polymorph (meV per atom) = 0
- energy (eV per atom) = -5.67

***

The following is a DFT calculation (PBE-GGA) of a relaxed Co2Pd8Pt crystal.

Cell and atoms, written as POSCAR:
```
Co2Pd8Pt
1.0
9.109 -1.387 0.000
9.109 1.387 0.000
-2.416 0.000 6.663
Co Pd Pt
2 8 1
Cartesian
0.000 0.000 0.000
9.911 0.000 4.088
-1.367 0.000 4.298
1.647 0.000 2.090
2.075 0.000 5.885
5.419 0.000 4.871
8.272 0.000 1.998
8.861 0.000 6.451
12.460 0.000 3.762
15.669 0.000 0.333
4.952 0.000 2.045
```

Computed properties:
- E above lowest polymorph (meV per atom) = 108
- energy (eV per atom) = -5.51

***

The following is a DFT calculation (PBE-GGA) of a relaxed CoPd2Pt5 crystal.

Cell and atoms, written as POSCAR:
```
CoPd2Pt5
1.0
0.000 3.920 5.560
2.770 0.000 5.560
2.770 3.920 0.000
Co Pd Pt
1 2 5
Cartesian
0.000 0.000 0.000
2.770 3.920 2.754
2.770 3.920 8.366
1.385 1.960 1.363
1.385 1.960 4.197
2.770 3.920 5.560
4.155 5.880 6.923
4.155 5.880 9.757
```

Computed properties:
- energy (eV per atom) = -6.01

***

The following is a DFT calculation (PBE-GGA) of a relaxed Co2PdPt7 crystal.

Cell and atoms, written as POSCAR:
```
Co2PdPt7
1.0
3.543 -6.364 0.000
3.543 6.364 0.000
0.000 0.000 4.068
Co Pd Pt
2 1 7
Cartesian
3.543 3.881 0.000
3.543 -3.881 0.000
3.543 0.000 2.034
0.000 0.000 0.000
2.198 1.426 0.000
3.543 2.631 2.034
2.198 -1.426 0.000
4.889 1.426 0.000
3.543 -2.631 2.034
4.889 -1.426 0.000
```

Computed properties:
- energy (eV per atom) = -5.70

***

no.,calculated formation energy (eV per atom),volume (Å³ per atom)
1,0.0386,15.2
2,0.1103,15.3
3,-0.0487,15.1
4,0.4679,18.3